Record 1
This record from Alexandria describes a geometry-optimized KCa2Sc structure. The functional is PBE.

Structure (POSCAR):
```
KCa2Sc
1.0
-1.9344 3.3076 6.3817
1.9344 -3.3076 6.3817
1.9344 3.3076 -6.3817
K Ca Sc
1 2 1
Cartesian
0.0000 0.0000 0.0000
1.9344 0.0000 3.4528
0.0000 3.3076 2.9289
0.0000 0.0000 6.3817
```

Results
Space group   No. 71



Record 2
This record from Alexandria describes a geometry-optimized KCa2Sc structure. The functional is PBE.

Structure (POSCAR):
```
KCa2Sc
1.0
3.7180 0.0000 0.0000
0.0000 5.5234 0.0000
0.0000 0.0000 7.9912
K Ca Sc
1 2 1
Cartesian
0.0000 0.0000 0.0000
0.0000 0.0000 3.7480
1.8590 2.7617 5.7066
1.8590 2.7617 2.2299
```

Results
Space group   No. 25



| no. | Fermi-level density of states (states/eV per cell) | ΔE_f (eV per atom) |
| --- | --- | --- |
| 1 | 5.12 | 0.4057 |
| 2 | 6.98 | 0.3895 |